Entry 1:
NpTl3O8: relaxed, GGA-PBE.

Results
energy: -6.059 eV/atom
density of states at the Fermi level: 4.596 states/eV/f.u.

Cell lengths 5.3926, 5.3926, 5.3926 Å; angles 90.00, 90.00, 90.00 degrees
Space group Pm-3m (No. 221)
Asymmetric unit:
Np1 0.0000 0.0000 0.0000
Tl1 0.0000 0.5000 0.5000
O1 0.2378 0.2378 0.2378



Entry 2:
Np3Tl2O9: relaxed, GGA-PBE.

Results
energy: -8.678 eV/atom
density of states at the Fermi level: 11.137 states/eV/f.u.

Cell lengths 12.4147, 5.9075, 13.6395 Å; angles 90.00, 98.24, 90.00 degrees
Space group C2/c (No. 15)
Asymmetric unit:
Np1 0.0307 0.1866 0.4071
Np2 0.2500 0.2500 0.0000
Tl1 0.1819 0.2964 0.7020
O1 0.0000 0.1873 0.2500
O2 0.0469 0.1381 0.5621
O3 0.1161 0.3255 0.0949
O4 0.1684 0.0179 0.4012
O5 0.1745 0.4782 0.9161



Entry 3:
Np2TlO5: relaxed, GGA-PBE.

Results
energy: -9.136 eV/atom
density of states at the Fermi level: 12.166 states/eV/f.u.

Cell lengths 3.5677, 5.6812, 12.0615 Å; angles 90.00, 90.00, 90.00 degrees
Space group Immm (No. 71)
Asymmetric unit:
Np1 0.0000 0.0000 0.1778
Tl1 0.0000 0.5000 0.0000
O1 0.0000 0.0000 0.0000
O2 0.0000 0.2627 0.3306



Entry 4:
NpTl2O4: relaxed, GGA-PBE.

Results
energy: -7.304 eV/atom
density of states at the Fermi level: 2.231 states/eV/f.u.

Cell lengths 4.3525, 4.3525, 14.2572 Å; angles 90.00, 90.00, 90.00 degrees
Space group I4/mmm (No. 139)
Asymmetric unit:
Np1 0.0000 0.0000 0.0000
Tl1 0.0000 0.0000 0.3493
O1 0.0000 0.0000 0.1345
O2 0.0000 0.5000 0.0000



Entry 5:
NpTl5O6: relaxed, GGA-PBE.

Results
energy: -5.959 eV/atom

Cell lengths 6.8165, 11.7936, 6.4711 Å; angles 90.00, 108.75, 90.00 degrees
Space group C2/m (No. 12)
Asymmetric unit:
Np1 0.0000 0.0000 0.0000
Tl1 0.0000 0.1579 0.5000
Tl2 0.0000 0.3320 0.0000
Tl3 0.0000 0.5000 0.5000
O1 0.1709 0.0000 0.7754
O2 0.1862 0.1199 0.1795



Entry 6:
NpTl2O8: relaxed, GGA-PBE.

Results
energy: -6.135 eV/atom
density of states at the Fermi level: 9.492 states/eV/f.u.

Cell lengths 15.7903, 3.5488, 6.1956 Å; angles 90.00, 95.31, 90.00 degrees
Space group C2/m (No. 12)
Asymmetric unit:
Np1 0.0000 0.0000 0.0000
Tl1 0.2484 0.5000 0.2517
O1 0.0453 0.0000 0.7434
O2 0.0690 0.5000 0.1153
O3 0.1866 0.0000 0.0619
O4 0.1878 0.5000 0.5681



Entry 7:
NpTlO4: relaxed, GGA-PBE.

Results
E above lowest polymorph: 0 meV/atom

Cell lengths 13.3067, 5.6092, 6.0748 Å; angles 90.00, 103.98, 90.00 degrees
Space group C2/c (No. 15)
Asymmetric unit:
Np1 0.2500 0.2500 0.0000
Tl1 0.0000 0.2377 0.2500
O1 0.1160 0.3757 0.9253
O2 0.2056 0.0226 0.2066



Entry 8:
NpTl4O5: relaxed, GGA-PBE.

Results
energy: -6.286 eV/atom
density of states at the Fermi level: 0.125 states/eV/f.u.

Cell lengths 9.6441, 9.6441, 4.3856 Å; angles 90.00, 90.00, 90.00 degrees
Space group I4/m (No. 87)
Asymmetric unit:
Np1 0.0000 0.0000 0.0000
Tl1 0.0926 0.6992 0.5000
O1 0.0000 0.0000 0.5000
O2 0.1431 0.8434 0.0000



Entry 9:
NpTl2O5: relaxed, GGA-PBE.

Results
energy: -6.913 eV/atom
density of states at the Fermi level: 6.389 states/eV/f.u.

Cell lengths 6.2587, 6.2587, 4.3406 Å; angles 90.00, 90.00, 90.00 degrees
Space group P4/mmm (No. 123)
Asymmetric unit:
Np1 0.0000 0.0000 0.0000
Tl1 0.0000 0.5000 0.5000
O1 0.0000 0.0000 0.5000
O2 0.2164 0.2164 0.0000



Entry 10:
NpTlO3: relaxed, GGA-PBE.

Results
energy: -8.321 eV/atom
density of states at the Fermi level: 4.257 states/eV/f.u.

Cell lengths 4.3269, 4.3269, 4.3269 Å; angles 90.00, 90.00, 90.00 degrees
Space group Pm-3m (No. 221)
Asymmetric unit:
Np1 0.0000 0.0000 0.0000
Tl1 0.5000 0.5000 0.5000
O1 0.0000 0.0000 0.5000



Entry 11:
NpTlO5: relaxed, GGA-PBE.

Results
energy: -7.493 eV/atom

Cell lengths 9.5078, 6.4013, 8.5493 Å; angles 90.00, 118.64, 90.00 degrees
Space group C2/c (No. 15)
Asymmetric unit:
Np1 0.0000 0.0000 0.0000
Tl1 0.0000 0.4627 0.2500
O1 0.0000 0.1263 0.2500
O2 0.0282 0.2881 0.9434
O3 0.2249 0.0354 0.6292



Entry 12:
NpTlO4: relaxed, GGA-PBE.

Results
density of states at the Fermi level: 1.869 states/eV/f.u.
E above lowest polymorph: 279 meV/atom

Cell lengths 3.6483, 3.6483, 6.4479 Å; angles 90.00, 90.00, 90.00 degrees
Space group P4/mmm (No. 123)
Asymmetric unit:
Np1 0.0000 0.0000 0.0000
Tl1 0.5000 0.5000 0.5000
O1 0.0000 0.5000 0.1840



Entry 13:
NpTl3O7: relaxed, GGA-PBE.

Results
energy: -6.375 eV/atom
density of states at the Fermi level: 0.513 states/eV/f.u.

Cell lengths 7.5795, 11.5386, 8.2596 Å; angles 90.00, 90.00, 90.00 degrees
Space group Cmcm (No. 63)
Asymmetric unit:
Np1 0.0000 0.0000 0.0000
Tl1 0.0000 0.5000 0.0000
Tl2 0.2482 0.2554 0.2500
O1 0.0000 0.0384 0.7500
O2 0.0000 0.3197 0.7500
O3 0.0000 0.3412 0.2500
O4 0.1825 0.1212 0.0305



Entry 14:
TmNpTl2O6: relaxed, GGA-PBE.

Results
energy: -7.479 eV/atom
density of states at the Fermi level: 1.865 states/eV/f.u.

Cell lengths 8.6065, 8.6065, 8.6065 Å; angles 90.00, 90.00, 90.00 degrees
Space group Fm-3m (No. 225)
Asymmetric unit:
Tm1 0.0000 0.0000 0.0000
Np1 0.0000 0.0000 0.5000
Tl1 0.2500 0.2500 0.2500
O1 0.0000 0.0000 0.2624



Entry 15:
Tm2NpTlO8: relaxed, GGA-PBE.

Results
energy: -7.930 eV/atom

Cell lengths 6.8617, 7.2168, 7.0937 Å; angles 90.00, 90.00, 90.00 degrees
Space group Cmmm (No. 65)
Asymmetric unit:
Tm1 0.0000 0.0000 0.2477
Np1 0.0000 0.5000 0.5000
Tl1 0.0000 0.5000 0.0000
O1 0.0000 0.3086 0.2903
O2 0.1975 0.0000 0.0000
O3 0.2040 0.0000 0.5000



Entry 16:
NpU3Tl2O12: relaxed, GGA-PBE.

Results
energy: -8.881 eV/atom
density of states at the Fermi level: 15.966 states/eV/f.u.

Cell lengths 7.9867, 7.9867, 19.4458 Å; angles 90.00, 90.00, 120.00 degrees
Space group R-3m (No. 166, hexagonal axes)
Asymmetric unit:
Np1 0.0000 0.0000 0.0000
U1 0.0000 0.5000 0.5000
Tl1 0.0000 0.0000 0.3234
O1 0.0799 0.5399 0.6041
O2 0.0907 0.5453 0.8582



Entry 17:
NpUTl2O6: relaxed, GGA-PBE.

Results
energy: -8.262 eV/atom
density of states at the Fermi level: 12.064 states/eV/f.u.

Cell lengths 8.6873, 8.6873, 8.6873 Å; angles 90.00, 90.00, 90.00 degrees
Space group Fm-3m (No. 225)
Asymmetric unit:
Np1 0.0000 0.0000 0.0000
U1 0.0000 0.0000 0.5000
Tl1 0.2500 0.2500 0.2500
O1 0.0000 0.0000 0.2520



| no. | total magnetization (μB/cell) |
| --- | --- |
| 1 | 0.196 |
| 2 | 20.000 |
| 3 | 10.000 |
| 4 | 2.000 |
| 5 | 0.000 |
| 6 | 6.075 |
| 7 | 0.000 |
| 8 | 2.000 |
| 9 | 0.000 |
| 10 | 2.000 |
| 11 | 0.000 |
| 12 | 0.108 |
| 13 | 0.185 |
| 14 | 0.334 |
| 15 | 0.000 |
| 16 | 2.667 |
| 17 | 12.000 |